1.
BaInGa2 | Alexandria | PBE-GGA | relaxed; ΔE_f = -0.34 eV per atom; magnetic moment = 0.0 μB per cell
1.0
-2.667 -0.687 -3.786
1.432 -2.913 -3.374
-3.202 -5.820 0.418
In Ba Ga
1 1 2
Direct
0.000 0.000 0.000 In
0.500 0.500 0.500 Ba
0.720 0.720 0.840 Ga
0.280 0.280 0.160 Ga

---

2.
Ba5In4Ga | Alexandria | PBE-GGA | relaxed; ΔE_f = -0.37 eV per atom; magnetic moment = 0.0 μB per cell
1.0
4.240 0.000 0.000
0.000 4.240 0.000
0.000 0.000 21.328
Ba In Ga
5 4 1
Direct
0.500 0.500 0.703 Ba
0.500 0.500 0.500 Ba
0.500 0.500 0.093 Ba
0.500 0.500 0.907 Ba
0.500 0.500 0.297 Ba
0.000 0.000 0.805 In
0.000 0.000 0.399 In
0.000 0.000 0.601 In
0.000 0.000 0.195 In
0.000 0.000 0.000 Ga

---

3.
Ba2InGa2 | Alexandria | PBE-GGA | relaxed; energy relative to the lowest polymorph listed for this composition = 0.00 eV/f.u.; ΔE_f = -0.38 eV per atom; magnetic moment = 0.0 μB per cell
1.0
-5.953 -2.760 -1.038
2.833 -0.311 5.838
-3.818 8.229 0.016
Ga In Ba
4 2 4
Direct
0.292 0.298 0.498 Ga
0.994 0.702 0.002 Ga
0.708 0.702 0.502 Ga
0.006 0.298 0.998 Ga
0.879 0.000 0.250 In
0.121 0.000 0.750 In
0.787 0.287 0.641 Ba
0.500 0.287 0.141 Ba
0.213 0.713 0.359 Ba
0.500 0.713 0.859 Ba

---

4.
Ba12In6Ga | Alexandria | PBE-GGA | relaxed; ΔE_f = -0.14 eV per atom; magnetic moment = 0.0 μB per cell
1.0
10.197 -0.064 -0.077
-1.609 10.070 -0.077
-1.609 -1.875 9.894
Ba In Ga
12 6 1
Direct
0.822 0.565 0.416 Ba
0.435 0.584 0.178 Ba
0.048 0.683 0.938 Ba
0.952 0.317 0.062 Ba
0.416 0.822 0.565 Ba
0.062 0.952 0.317 Ba
0.178 0.435 0.584 Ba
0.938 0.048 0.683 Ba
0.565 0.416 0.822 Ba
0.584 0.178 0.435 Ba
0.683 0.938 0.048 Ba
0.317 0.062 0.952 Ba
0.701 0.863 0.384 In
0.616 0.299 0.137 In
0.137 0.616 0.299 In
0.384 0.701 0.863 In
0.299 0.137 0.616 In
0.863 0.384 0.701 In
0.000 0.000 0.000 Ga

---

5.
Ba6InGa | Alexandria | PBE-GGA | relaxed; energy relative to the lowest polymorph listed for this composition = 0.00 eV/f.u.; ΔE_f = -0.18 eV per atom; magnetic moment = 0.0 μB per cell
1.0
-3.988 -4.536 0.415
1.204 -1.582 -5.718
6.563 -9.732 0.870
Ba In Ga
6 1 1
Direct
0.411 0.911 0.178 Ba
0.089 0.589 0.822 Ba
0.589 0.089 0.822 Ba
0.911 0.411 0.178 Ba
0.251 0.251 0.498 Ba
0.749 0.749 0.502 Ba
0.500 0.500 0.000 In
0.000 0.000 0.000 Ga

---

6.
Ba3InGa3 | Alexandria | PBE-GGA | relaxed; ΔE_f = -0.40 eV per atom; magnetic moment = 0.0 μB per cell
1.0
5.141 0.000 0.774
2.571 5.903 0.385
0.300 -0.487 15.459
Ba Ga In
6 6 2
Direct
0.463 0.691 0.382 Ba
0.751 0.731 0.768 Ba
0.537 0.309 0.618 Ba
0.386 0.303 0.925 Ba
0.614 0.697 0.075 Ba
0.249 0.269 0.232 Ba
0.086 0.905 0.923 Ga
0.872 0.723 0.532 Ga
0.914 0.095 0.077 Ga
0.046 0.131 0.777 Ga
0.128 0.277 0.468 Ga
0.954 0.869 0.223 Ga
0.241 0.914 0.603 In
0.759 0.086 0.397 In

---

7.
BaIn11Ga | Alexandria | PBE-GGA | relaxed; ΔE_f = -0.09 eV per atom; magnetic moment = 0.0 μB per cell
1.0
-1.492 5.607 2.563
-7.256 2.502 -2.912
-4.226 -0.708 6.936
Ba In Ga
1 11 1
Direct
0.000 0.000 0.000 Ba
0.988 0.362 0.650 In
0.000 0.500 0.000 In
0.012 0.638 0.350 In
0.707 0.779 0.788 In
0.505 0.221 0.788 In
0.362 0.638 0.650 In
0.638 0.362 0.350 In
0.500 0.000 0.500 In
0.495 0.779 0.212 In
0.293 0.221 0.212 In
0.000 0.000 0.500 In
0.500 0.500 0.000 Ga

---

8.
BaIn3Ga | Alexandria | PBE-GGA | relaxed; energy relative to the lowest polymorph listed for this composition = 1.41 eV/f.u.; ΔE_f = -0.09 eV per atom; magnetic moment = 0.0 μB per cell
1.0
-3.880 -2.058 -3.271
-0.622 -4.242 3.407
-3.814 2.785 2.772
In Ba Ga
3 1 1
Direct
0.500 0.000 0.000 In
0.000 0.000 0.500 In
0.000 0.500 0.000 In
0.500 0.500 0.500 Ba
0.000 0.000 0.000 Ga

---

9.
BaInGa | Alexandria | PBE-GGA | relaxed; ΔE_f = -0.43 eV per atom; magnetic moment = 0.0 μB per cell
1.0
-6.496 -4.943 -0.831
1.348 -2.429 3.916
-2.605 2.963 2.735
In Ga Ba
2 2 2
Direct
0.220 0.938 0.621 In
0.220 0.438 0.121 In
0.436 0.938 0.121 Ga
0.003 0.438 0.621 Ga
0.544 0.438 0.621 Ba
0.895 0.938 0.121 Ba

---

10.
BaInGa | Alexandria | PBE-GGA | relaxed; ΔE_f = -0.43 eV per atom; magnetic moment = 0.0 μB per cell
1.0
-3.943 0.117 3.441
-2.869 -1.853 -3.224
2.426 -2.810 2.876
In Ga Ba
1 1 1
Direct
0.165 0.000 0.000 In
0.169 0.333 0.667 Ga
0.666 0.667 0.333 Ba

---

11.
Ba2InGa2 | Alexandria | PBE-GGA | relaxed; energy relative to the lowest polymorph listed for this composition = 0.26 eV/f.u.; ΔE_f = -0.33 eV per atom; magnetic moment = 0.0 μB per cell
1.0
7.731 0.000 0.000
0.000 7.731 0.000
0.000 0.000 5.365
Ga Ba In
4 4 2
Direct
0.619 0.119 0.000 Ga
0.381 0.881 0.000 Ga
0.119 0.381 0.000 Ga
0.881 0.619 0.000 Ga
0.187 0.687 0.500 Ba
0.687 0.813 0.500 Ba
0.313 0.187 0.500 Ba
0.813 0.313 0.500 Ba
0.000 0.000 0.000 In
0.500 0.500 0.000 In

---

12.
Ba2In2Ga | Alexandria | PBE-GGA | relaxed; energy relative to the lowest polymorph listed for this composition = 0.00 eV/f.u.; ΔE_f = -0.41 eV per atom; magnetic moment = 0.0 μB per cell
1.0
4.698 0.000 0.000
2.349 6.621 0.120
2.349 1.247 11.775
In Ga Ba
4 2 4
Direct
0.615 0.890 0.881 In
0.963 0.666 0.408 In
0.037 0.334 0.592 In
0.385 0.110 0.119 In
0.557 0.194 0.691 Ga
0.443 0.806 0.309 Ga
0.894 0.317 0.896 Ba
0.708 0.224 0.360 Ba
0.106 0.683 0.104 Ba
0.292 0.776 0.640 Ba

---

Repeat the second record exactly.
Ba5In4Ga | Alexandria | PBE-GGA | relaxed; ΔE_f = -0.37 eV per atom; magnetic moment = 0.0 μB per cell
1.0
4.240 0.000 0.000
0.000 4.240 0.000
0.000 0.000 21.328
Ba In Ga
5 4 1
Direct
0.500 0.500 0.703 Ba
0.500 0.500 0.500 Ba
0.500 0.500 0.093 Ba
0.500 0.500 0.907 Ba
0.500 0.500 0.297 Ba
0.000 0.000 0.805 In
0.000 0.000 0.399 In
0.000 0.000 0.601 In
0.000 0.000 0.195 In
0.000 0.000 0.000 Ga